# 1
A plane-wave DFT calculation with PBE-GGA was carried out for a relaxed structure of Pm3Nd2Ho6.

The total energy comes out at -0.3289 Ry per atom. The formation energy is 0.1849 eV per atom. The value obtained for the relative energy among the computed polymorphs is 0.000 eV per atom.

The space group is C2/m (No. 12) and the conventional cell measures 6.163, 10.694 and 11.693 Å, with angles of 90.00, 100.18 and 90.00 degrees. The asymmetric unit holds Pm at (0.000, 0.000, 0.000), Pm at (0.000, 0.336, 0.000), Nd at (0.000, 0.167, 0.500), Ho at (0.250, 0.000, 0.750) and Ho at (0.250, 0.167, 0.250).

# 2
A plane-wave DFT calculation with PBE-GGA was carried out for a relaxed structure of K2HgRu.

The total energy comes out at -0.1489 Ry per atom. The formation energy is 0.9167 eV per atom.

The space group is I-42d (No. 122) and the conventional cell measures 4.200, 4.200 and 22.992 Å, with angles of 90.00, 90.00 and 90.00 degrees. The asymmetric unit holds K at (0.246, 0.250, 0.125), Hg at (0.000, 0.000, 0.500) and Ru at (0.000, 0.000, 0.000).

> Which formula does entry 1 have?

Pm3Nd2Ho6